[1]
The following is a DFT calculation (PBE) of a geometry-optimized BaInTc2 structure.

Values from the calculation:
Calculated formation energy (eV per formula unit): 4.19
Relative energy among the computed polymorphs (meV per atom): 834

Unit cell a=4.844 b=4.844 c=3.659 alpha=90.00 beta=90.00 gamma=90.00
Sites, in units of the cell vectors:
Ba1 0.000 0.000 0.000
In1 0.500 0.500 0.000
Tc1 0.000 0.500 0.500
Tc2 0.500 0.000 0.500

***

[2]
The following is a DFT calculation (PBE) of a geometry-optimized Ba4InTc structure.

Values from the calculation:
Calculated formation energy (eV per formula unit): 5.80

Unit cell a=7.120 b=7.120 c=7.120 alpha=60.00 beta=60.00 gamma=60.00
Sites, in units of the cell vectors:
Ba1 0.125 0.125 0.125
Ba2 0.125 0.125 0.625
Ba3 0.125 0.625 0.125
Ba4 0.625 0.125 0.125
In1 0.750 0.750 0.750
Tc1 0.500 0.500 0.500

***

[3]
The following is a DFT calculation (PBE) of a geometry-optimized BaInTc2 structure.

Values from the calculation:
Calculated formation energy (eV per formula unit): 4.42
Relative energy among the computed polymorphs (meV per atom): 892

Unit cell a=3.283 b=4.705 c=5.549 alpha=90.00 beta=90.00 gamma=90.00
Sites, in units of the cell vectors:
Ba1 0.000 0.000 0.000
In1 0.500 0.000 0.500
Tc1 0.000 0.500 0.500
Tc2 0.500 0.500 0.000

***

[4]
The following is a DFT calculation (PBE) of a geometry-optimized Ba2InTc structure.

Values from the calculation:
Calculated formation energy (eV per formula unit): 1.68
Relative energy among the computed polymorphs (meV per atom): 120

Unit cell a=8.522 b=8.522 c=8.522 alpha=95.66 beta=95.66 gamma=143.39
Sites, in units of the cell vectors:
Ba1 0.375 0.182 0.307
Ba2 0.818 0.125 0.193
Ba3 0.875 0.068 0.693
Ba4 0.932 0.625 0.807
In1 0.250 0.750 0.500
In2 0.500 0.500 0.000
Tc1 0.000 0.000 0.000
Tc2 0.750 0.250 0.500